1.
A relaxed structure of PrSnHPd2, computed with GGA-PBE.

Summary:
Size of the total moment: 0.0 μB per formula unit
N(E_F): 0.402 states/eV per atom

```
data_PrSnHPd2
_cell_length_a 4.1887
_cell_length_b 6.1341
_cell_length_c 7.5598
_cell_angle_alpha 90.00
_cell_angle_beta 90.00
_cell_angle_gamma 109.96
_space_group_name_H-M_alt 'P 1'
_space_group_IT_number 1
loop_
_space_group_symop_operation_xyz
'x,y,z'
loop_
_atom_site_label
_atom_site_fract_x
_atom_site_fract_y
_atom_site_fract_z
_atom_site_occupancy
Sn1 0.2777 0.5553 0.2500 1
H1 0.0000 0.0000 0.0000 1
Pd1 0.1491 0.2981 0.9475 1
Pd2 0.8509 0.7019 0.0525 1
Pr1 0.4400 0.8801 0.7500 1
Sn2 0.7223 0.4447 0.7500 1
Pd3 0.8509 0.7019 0.4475 1
H2 0.0000 0.0000 0.5000 1
Pd4 0.1491 0.2981 0.5525 1
Pr2 0.5600 0.1199 0.2500 1
```

=====

2.
A relaxed structure of GaSi2Os2, computed with GGA-PBE.

Summary:
Size of the total moment: 0.0 μB per formula unit
Formation energy (no corrections): -0.12 eV/atom
Offset from the most stable computed form: 61.2 meV per atom
N(E_F): 0.534 states/eV per atom

```
data_GaSi2Os2
_cell_length_a 7.0593
_cell_length_b 7.0593
_cell_length_c 2.8975
_cell_angle_alpha 90.00
_cell_angle_beta 90.00
_cell_angle_gamma 90.00
_space_group_name_H-M_alt 'P 1'
_space_group_IT_number 1
loop_
_space_group_symop_operation_xyz
'x,y,z'
loop_
_atom_site_label
_atom_site_fract_x
_atom_site_fract_y
_atom_site_fract_z
_atom_site_occupancy
Os1 0.8464 0.6536 0.0000 1
Os2 0.3464 0.8464 0.0000 1
Ga1 0.0000 0.0000 0.0000 1
Os3 0.6536 0.1536 0.0000 1
Si1 0.3588 0.1412 0.5000 1
Ga2 0.5000 0.5000 0.0000 1
Os4 0.1536 0.3464 0.0000 1
Si2 0.8588 0.3588 0.5000 1
Si3 0.6412 0.8588 0.5000 1
Si4 0.1412 0.6412 0.5000 1
```

=====

3.
A relaxed structure of UAl11Os, computed with GGA-PBE.

Summary:
Size of the total moment: 2.7 μB per formula unit
Energy relative to the elements: -0.154 eV per atom
N(E_F): 0.785 states/eV per atom

```
data_UAl11Os
_cell_length_a 5.2241
_cell_length_b 7.0666
_cell_length_c 6.8414
_cell_angle_alpha 81.96
_cell_angle_beta 67.55
_cell_angle_gamma 68.51
_space_group_name_H-M_alt 'P 1'
_space_group_IT_number 1
loop_
_space_group_symop_operation_xyz
'x,y,z'
loop_
_atom_site_label
_atom_site_fract_x
_atom_site_fract_y
_atom_site_fract_z
_atom_site_occupancy
Al1 0.6384 0.3573 0.3456 1
Al2 0.7127 0.7814 0.7881 1
Al3 0.3616 0.6427 0.6544 1
Al4 0.4992 0.2186 0.7881 1
U1 0.0000 0.0000 0.0000 1
Al5 0.0000 0.0000 0.5000 1
Al6 0.9840 0.3573 0.6544 1
Al7 0.5008 0.7814 0.2119 1
Al8 0.2873 0.2186 0.2119 1
Al9 0.0160 0.6427 0.3456 1
Os1 0.5000 0.5000 0.0000 1
Al10 0.0000 0.5000 0.0000 1
Al11 0.5000 0.0000 0.5000 1
```

=====

4.
A relaxed structure of TiAlV, computed with GGA-PBE.

Summary:
Size of the total moment: 0.0 μB per formula unit
Energy relative to the elements: -0.140 eV per atom
Offset from the most stable computed form: 51.0 meV per atom
N(E_F): 1.061 states/eV per atom

```
data_TiAlV
_cell_length_a 3.6105
_cell_length_b 3.6105
_cell_length_c 7.2815
_cell_angle_alpha 90.00
_cell_angle_beta 90.00
_cell_angle_gamma 90.00
_space_group_name_H-M_alt 'P 1'
_space_group_IT_number 1
loop_
_space_group_symop_operation_xyz
'x,y,z'
loop_
_atom_site_label
_atom_site_fract_x
_atom_site_fract_y
_atom_site_fract_z
_atom_site_occupancy
V1 0.0000 0.0000 0.5000 1
Al1 0.0000 0.5000 0.7640 1
Ti1 0.0000 0.5000 0.1381 1
V2 0.5000 0.5000 0.5000 1
Ti2 0.5000 0.0000 0.8619 1
Al2 0.5000 0.0000 0.2360 1
```

=====

5.
A relaxed structure of TaP2Pt, computed with GGA-PBE.

Summary:
Size of the total moment: 0.0 μB per formula unit
Energy relative to the elements: -0.195 eV per atom
Offset from the most stable computed form: 337.9 meV per atom
N(E_F): 0.407 states/eV per atom

```
data_TaP2Pt
_cell_length_a 4.3712
_cell_length_b 4.3712
_cell_length_c 4.3712
_cell_angle_alpha 60.00
_cell_angle_beta 60.00
_cell_angle_gamma 60.00
_space_group_name_H-M_alt 'P 1'
_space_group_IT_number 1
loop_
_space_group_symop_operation_xyz
'x,y,z'
loop_
_atom_site_label
_atom_site_fract_x
_atom_site_fract_y
_atom_site_fract_z
_atom_site_occupancy
Ta1 0.0000 0.0000 0.0000 1
Pt1 0.5000 0.5000 0.5000 1
P1 0.2500 0.2500 0.2500 1
P2 0.7500 0.7500 0.7500 1
```

=====

6.
A relaxed structure of YTeO2, computed with GGA-PBE.

Summary:
Size of the total moment: 0.0 μB per formula unit
Formation energy (no corrections): -1.03 eV/atom
N(E_F): 0.388 states/eV per atom

```
data_YTeO2
_cell_length_a 6.0716
_cell_length_b 6.0716
_cell_length_c 6.0716
_cell_angle_alpha 37.66
_cell_angle_beta 37.66
_cell_angle_gamma 37.66
_space_group_name_H-M_alt 'P 1'
_space_group_IT_number 1
loop_
_space_group_symop_operation_xyz
'x,y,z'
loop_
_atom_site_label
_atom_site_fract_x
_atom_site_fract_y
_atom_site_fract_z
_atom_site_occupancy
O1 0.8719 0.8719 0.8719 1
Y1 0.0000 0.0000 0.0000 1
Te1 0.5000 0.5000 0.5000 1
O2 0.1281 0.1281 0.1281 1
```

=====

7.
A relaxed structure of Ho5TcAu2, computed with GGA-PBE.

Summary:
Size of the total moment: 0.0 μB per formula unit
Energy relative to the elements: -0.473 eV per atom
N(E_F): 0.836 states/eV per atom

```
data_Ho5TcAu2
_cell_length_a 4.7608
_cell_length_b 7.0796
_cell_length_c 11.7680
_cell_angle_alpha 90.00
_cell_angle_beta 90.00
_cell_angle_gamma 90.00
_space_group_name_H-M_alt 'P 1'
_space_group_IT_number 1
loop_
_space_group_symop_operation_xyz
'x,y,z'
loop_
_atom_site_label
_atom_site_fract_x
_atom_site_fract_y
_atom_site_fract_z
_atom_site_occupancy
Ho1 0.0000 0.6515 0.7090 1
Au1 0.5000 0.5773 0.1596 1
Ho2 0.0000 0.3485 0.2910 1
Tc1 0.0000 0.0000 0.0000 1
Au2 0.5000 0.4227 0.8404 1
Ho3 0.5000 0.8219 0.9122 1
Ho4 0.5000 0.1781 0.0878 1
Tc2 0.0000 0.5000 0.5000 1
Au3 0.5000 0.9227 0.6596 1
Au4 0.5000 0.0773 0.3404 1
Ho5 0.5000 0.3219 0.5878 1
Ho6 0.5000 0.6781 0.4122 1
Ho7 0.0000 0.5000 0.0000 1
Ho8 0.0000 0.1515 0.7910 1
Ho9 0.0000 0.0000 0.5000 1
Ho10 0.0000 0.8485 0.2090 1
```

=====

8.
A relaxed structure of Pr2As7Rh12, computed with GGA-PBE.

Summary:
Size of the total moment: 0.0 μB per formula unit
Energy relative to the elements: -0.700 eV per atom
N(E_F): 0.791 states/eV per atom

```
data_Pr2As7Rh12
_cell_length_a 3.9789
_cell_length_b 10.0061
_cell_length_c 10.0061
_cell_angle_alpha 120.00
_cell_angle_beta 90.00
_cell_angle_gamma 90.00
_space_group_name_H-M_alt 'P 1'
_space_group_IT_number 1
loop_
_space_group_symop_operation_xyz
'x,y,z'
loop_
_atom_site_label
_atom_site_fract_x
_atom_site_fract_y
_atom_site_fract_z
_atom_site_occupancy
Rh1 0.2502 0.6187 0.0627 1
As1 0.7508 0.1149 0.7120 1
Rh2 0.7498 0.0627 0.4439 1
As2 0.2492 0.4029 0.1149 1
Pr1 0.2491 0.3333 0.6667 1
Rh3 0.2502 0.4439 0.3813 1
Rh4 0.2467 0.7373 0.8523 1
Rh5 0.7533 0.8850 0.7373 1
Rh6 0.2467 0.1150 0.2627 1
Rh7 0.2502 0.9373 0.5561 1
Rh8 0.7498 0.5561 0.6187 1
As3 0.7508 0.5971 0.8851 1
As4 0.7508 0.2880 0.4029 1
As5 0.2492 0.7120 0.5971 1
Rh9 0.2467 0.1477 0.8850 1
As6 0.2492 0.8851 0.2880 1
Rh10 0.7498 0.3813 0.9373 1
Rh11 0.7533 0.8523 0.1150 1
As7 0.5000 0.0000 0.0000 1
Rh12 0.7533 0.2627 0.1477 1
Pr2 0.7509 0.6667 0.3333 1
```

=====

9.
A relaxed structure of NaCeMg2Hg4, computed with GGA-PBE.

Summary:
Size of the total moment: 1.0 μB per formula unit
Energy relative to the elements: -0.286 eV per atom
N(E_F): 1.170 states/eV per atom

```
data_NaCeMg2Hg4
_cell_length_a 5.0417
_cell_length_b 5.0417
_cell_length_c 9.1601
_cell_angle_alpha 74.03
_cell_angle_beta 74.03
_cell_angle_gamma 60.00
_space_group_name_H-M_alt 'P 1'
_space_group_IT_number 1
loop_
_space_group_symop_operation_xyz
'x,y,z'
loop_
_atom_site_label
_atom_site_fract_x
_atom_site_fract_y
_atom_site_fract_z
_atom_site_occupancy
Hg1 0.1257 0.1257 0.6229 1
Ce1 0.0000 0.0000 0.0000 1
Mg1 0.2478 0.2478 0.2567 1
Hg2 0.8743 0.8743 0.3771 1
Hg3 0.6181 0.6181 0.1456 1
Mg2 0.7522 0.7522 0.7433 1
Na1 0.5000 0.5000 0.5000 1
Hg4 0.3819 0.3819 0.8544 1
```

=====

10.
A relaxed structure of CsMg14Nb, computed with GGA-PBE.

Summary:
Size of the total moment: 0.0 μB per formula unit
Energy relative to the elements: 0.238 eV per atom
Offset from the most stable computed form: 0.0 meV per atom
N(E_F): 0.632 states/eV per atom

```
data_CsMg14Nb
_cell_length_a 6.5446
_cell_length_b 6.5446
_cell_length_c 10.5752
_cell_angle_alpha 90.00
_cell_angle_beta 90.00
_cell_angle_gamma 120.00
_space_group_name_H-M_alt 'P 1'
_space_group_IT_number 1
loop_
_space_group_symop_operation_xyz
'x,y,z'
loop_
_atom_site_label
_atom_site_fract_x
_atom_site_fract_y
_atom_site_fract_z
_atom_site_occupancy
Mg1 0.0111 0.5055 0.0000 1
Mg2 0.1668 0.8332 0.2763 1
Mg3 0.6664 0.8332 0.7237 1
Mg4 0.1668 0.3336 0.7237 1
Mg5 0.4945 0.5055 0.0000 1
Mg6 0.1668 0.8332 0.7237 1
Mg7 0.4945 0.9889 0.0000 1
Mg8 0.5048 0.4952 0.5000 1
Mg9 0.6667 0.3333 0.2395 1
Cs1 0.0000 0.0000 0.0000 1
Mg10 0.9904 0.4952 0.5000 1
Mg11 0.6664 0.8332 0.2763 1
Mg12 0.6667 0.3333 0.7605 1
Mg13 0.5048 0.0096 0.5000 1
Nb1 0.0000 0.0000 0.5000 1
Mg14 0.1668 0.3336 0.2763 1
```

=====

Number 1: density 8.6 g/cm³, DFT total energy -5.199 eV/atom. Number 2: density 11.6 g/cm³, DFT total energy -7.383 eV/atom. Number 3: density 5.5 g/cm³, DFT total energy -5.053 eV/atom. Number 4: density 4.4 g/cm³, DFT total energy -7.059 eV/atom. Number 5: density 12.3 g/cm³, DFT total energy -7.374 eV/atom. Number 6: density 5.5 g/cm³, DFT total energy -5.913 eV/atom. Number 7: density 11.0 g/cm³, DFT total energy -5.450 eV/atom. Number 8: density 9.8 g/cm³, DFT total energy -6.906 eV/atom. Number 9: density 8.8 g/cm³, DFT total energy -1.742 eV/atom. Number 10: density 2.4 g/cm³, DFT total energy -1.840 eV/atom.